i | Computed, not measured: a geometry-optimized CaAsCl3 structure at the GGA-PBE level of DFT.

Geometry as extended XYZ:
```
5
Lattice="5.2190 0.0000 0.0000 0.0000 5.2190 0.0000 0.0000 0.0000 5.2190" Properties=species:S:1:pos:R:3 pbc="T T T"
Ca 0.0000 0.0000 0.0000
As 2.6095 2.6095 2.6095
Cl 0.0000 2.6095 2.6095
Cl 2.6095 0.0000 2.6095
Cl 2.6095 2.6095 0.0000
```

ii | Computed, not measured: a geometry-optimized CaAsCl3 structure at the GGA-PBE level of DFT.

Geometry as extended XYZ:
```
5
Lattice="5.3439 0.0000 0.0000 0.0000 5.3439 0.0000 0.0000 0.0000 5.3439" Properties=species:S:1:pos:R:3 pbc="T T T"
Ca 0.0000 0.0000 0.0000
As 2.6720 2.6720 2.6720
Cl 0.0000 0.0000 2.6720
Cl 0.0000 2.6720 0.0000
Cl 2.6720 0.0000 0.0000
```

Which of them is most stable? Easy: ii.

i | Computed, not measured: a geometry-optimized CaAsP2Cl structure at the GGA-PBE level of DFT.

Geometry as extended XYZ:
```
5
Lattice="5.5048 0.0000 0.0000 0.0000 5.5048 0.0000 0.0000 0.0000 4.9656" Properties=species:S:1:pos:R:3 pbc="T T T"
Ca 0.0000 0.0000 0.0000
As 2.7524 2.7524 2.4828
P 0.0000 2.7524 0.0000
P 2.7524 0.0000 0.0000
Cl 0.0000 0.0000 2.4828
```

ii | Computed, not measured: a geometry-optimized CaAsP2Cl structure at the GGA-PBE level of DFT.

Geometry as extended XYZ:
```
5
Lattice="4.7331 0.0000 0.0000 0.0000 4.7331 0.0000 0.0000 0.0000 5.2337" Properties=species:S:1:pos:R:3 pbc="T T T"
Ca 0.0000 0.0000 0.0000
As 2.3666 2.3666 2.6169
P 0.0000 2.3666 2.6169
P 2.3666 0.0000 2.6169
Cl 2.3666 2.3666 0.0000
```

Which of them is most stable? Easy: ii.

i | Computed, not measured: a geometry-optimized CaAsPCl2 structure at the GGA-PBE level of DFT.

Geometry as extended XYZ:
```
5
Lattice="5.0305 0.0000 0.0000 0.0000 5.0305 0.0000 0.0000 0.0000 4.9068" Properties=species:S:1:pos:R:3 pbc="T T T"
Ca 0.0000 0.0000 0.0000
As 2.5153 2.5153 2.4534
P 2.5153 2.5153 0.0000
Cl 0.0000 2.5153 2.4534
Cl 2.5153 0.0000 2.4534
```

ii | Computed, not measured: a geometry-optimized CaAsPCl2 structure at the GGA-PBE level of DFT.

Geometry as extended XYZ:
```
5
Lattice="4.9968 0.0000 0.0000 0.0000 4.9968 0.0000 0.0000 0.0000 6.1851" Properties=species:S:1:pos:R:3 pbc="T T T"
Ca 0.0000 0.0000 0.0000
As 2.4984 2.4984 3.0926
P 0.0000 0.0000 3.0926
Cl 0.0000 2.4984 0.0000
Cl 2.4984 0.0000 0.0000
```

Which of them is most stable? Easy: i.

i | Computed, not measured: a geometry-optimized CaCoAs2Se structure at the GGA-PBE level of DFT.

Geometry as extended XYZ:
```
5
Lattice="5.3556 0.0000 0.0000 0.0000 5.3556 0.0000 0.0000 0.0000 5.2843" Properties=species:S:1:pos:R:3 pbc="T T T"
Ca 0.0000 0.0000 0.0000
Co 2.6778 2.6778 2.6422
As 0.0000 2.6778 0.0000
As 2.6778 0.0000 0.0000
Se 0.0000 0.0000 2.6422
```

ii | Computed, not measured: a geometry-optimized CaCoAs2Se structure at the GGA-PBE level of DFT.

Geometry as extended XYZ:
```
5
Lattice="4.4744 0.0000 0.0000 0.0000 4.4744 0.0000 0.0000 0.0000 5.4639" Properties=species:S:1:pos:R:3 pbc="T T T"
Ca 0.0000 0.0000 0.0000
Co 2.2372 2.2372 2.7319
As 0.0000 2.2372 2.7319
As 2.2372 0.0000 2.7319
Se 2.2372 2.2372 0.0000
```

Which of them is most stable? Easy: ii.